(1)
Below is an optimized crystal structure of NpSiN2, with properties calculated at the GGA-PBE level.

Values from the calculation:
Crystal system ... trigonal
Spin magnetization ... 3.33 μB per cell
Formation energy without anion corrections ... -307 meV per atom
Fermi-level density of states ... 3.4 states/eV per cell
SG ... R-3m (166)

a b c (Å): 2.934 2.934 6.497
angles (deg): 76.95 76.95 60.00
Each line ends with the local moment (μB).
Fractional positions:
N 0.116 0.116 0.652  -0.05
N 0.884 0.884 0.348  -0.05
Si 0.500 0.500 0.500  0.03
Np 0.000 0.000 0.000  3.25

---

(2)
Below is an optimized crystal structure of VGaSn3, with properties calculated at the GGA-PBE level.

Values from the calculation:
Excess energy over the best structure of this formula in the dataset ... 0.0000 eV/atom
Crystal system ... cubic
Spin magnetization ... 0.24 μB per cell
Fermi-level density of states ... 2.6 states/eV per cell
Formation energy from the elements ... 0.24 eV per atom
SG ... Pm-3m (221)

a b c (Å): 5.159 5.159 5.159
angles (deg): 90.00 90.00 90.00
Each line ends with the local moment (μB).
Fractional positions:
Sn 0.000 0.500 0.000  -0.01
Sn 0.000 0.000 0.500  -0.01
Sn 0.500 0.000 0.000  -0.01
V 0.000 0.000 0.000  0.31
Ga 0.500 0.500 0.500  -0.01